## BaCdHg2Pt (GGA-PBE)

Data for crystalline BaCdHg2Pt at its relaxed geometry.

a = 4.4890 Å, b = 4.6783 Å, c = 7.2421 Å
α = 108.84°, β = 108.05°, γ = 90.00°
Closest atoms and distances in Å follow each position.
Element x y z (fractional)
Ba 0.4269 0.4269 0.8538  4 Pt 3.46, 6 Hg 3.60-3.65, 2 Cd 3.77
Cd 0.1989 0.6989 0.3978  2 Pt 2.85, 2 Hg 3.05
Hg 0.7047 0.2047 0.4095  2 Pt 2.88, 2 Hg 3.03
Hg 0.0474 0.0474 0.0948  1 Pt 2.76, 2 Hg 3.03, 2 Cd 3.05
Pt 0.8342 0.8342 0.6684  3 Hg 2.76-2.88, 2 Cd 2.85

Calculated values
Total magnetic moment   0.00 μB/cell
Space group   No. 44
Energy of formation   -9.79 kcal/mol of atoms
ΔE to the lowest computed polymorph   0 meV per atom



## Ba2CdHgPt (GGA-PBE)

Data for crystalline Ba2CdHgPt at its relaxed geometry.

a = 6.1103 Å, b = 6.1103 Å, c = 5.2751 Å
α = 90.00°, β = 90.00°, γ = 90.00°
Closest atoms and distances in Å follow each position.
Element x y z (fractional)
Cd 0.0000 0.0000 0.5000  2 Pt 2.64
Hg 0.5000 0.5000 0.5000  8 Ba 4.04, 4 Cd 4.32
Pt 0.0000 0.0000 0.0000  2 Cd 2.64
Ba 0.0000 0.5000 0.0000  2 Pt 3.06
Ba 0.5000 0.0000 0.0000  2 Pt 3.06

Calculated values
Total magnetic moment   0.00 μB/cell
Space group   No. 123
Energy of formation   -11.29 kcal/mol of atoms
ΔE to the lowest computed polymorph   71 meV per atom



total magnetic moment of number 1 (BaCdHg2Pt)?
0.00 μB/cell